Computed, not measured: PtAu after structural relaxation at the PBE level of DFT.

POSCAR file:
```
PtAu
1.0
5.681 0.006 -0.016
2.532 4.811 -0.009
-3.240 -3.591 2.482
Pt Au
2 2
direct
0.510 0.505 0.005
0.574 0.245 0.329
0.997 0.997 0.000
0.087 0.753 0.334
```

As for the formation energy from the elements: 0.073 eV per atom. As for the space group: C2/m, No. 12.

Computed, not measured: KTaW after structural relaxation at the PBE level of DFT.

POSCAR file:
```
KTaW
1.0
-3.764 -6.341 0.970
-2.594 -5.962 -3.612
5.214 5.008 1.746
W K Ta
1 1 1
direct
0.706 0.706 0.000
0.007 0.007 0.000
0.286 0.286 0.000
```

As for the formation energy from the elements: 1.061 eV per atom. As for the space group: I4mm, No. 107. Its energy above the most stable polymorph in this dataset is 44.0 kJ/mol of formula units.

Computed, not measured: TiSiN after structural relaxation at the PBE level of DFT.

POSCAR file:
```
TiSiN
1.0
-1.985 -0.333 -2.001
2.106 -1.048 -1.914
-3.032 -16.642 5.774
N Si Ti
4 4 4
direct
0.004 0.750 0.696
0.496 0.750 0.196
0.504 0.250 0.804
0.996 0.250 0.304
0.002 0.250 0.551
0.502 0.750 0.949
0.998 0.750 0.449
0.498 0.250 0.051
0.003 0.750 0.812
0.997 0.250 0.188
0.503 0.250 0.688
0.497 0.750 0.312
```

As for the energy relative to the elements, uncorrected: -0.81 eV per atom. As for the space group: Pnma, No. 62.

Computed, not measured: AgSnPb3 after structural relaxation at the PBE level of DFT.

POSCAR file:
```
AgSnPb3
1.0
6.731 0.000 0.204
0.000 6.485 0.000
-0.761 0.000 13.101
Sn Pb Ag
4 12 4
direct
0.703 0.011 0.700
0.703 0.989 0.200
0.297 0.989 0.300
0.297 0.011 0.800
0.427 0.246 0.026
0.427 0.754 0.526
0.573 0.754 0.974
0.899 0.745 0.427
0.573 0.246 0.474
0.899 0.255 0.927
0.728 0.494 0.705
0.728 0.506 0.205
0.101 0.255 0.573
0.272 0.494 0.795
0.272 0.506 0.295
0.101 0.745 0.073
0.061 0.212 0.141
0.939 0.212 0.359
0.939 0.788 0.859
0.061 0.788 0.641
```

As for the formation energy from the elements: 0.066 eV per atom. As for the space group: P2/c, No. 13. Its energy above the most stable polymorph in this dataset is 0.0 kJ/mol of formula units.

Computed, not measured: NdDy2MnN4 after structural relaxation at the PBE level of DFT.

POSCAR file:
```
NdDy2MnN4
1.0
-2.301 -2.063 1.446
4.213 1.022 4.136
-5.895 9.191 3.735
Dy Nd N Mn
4 2 8 2
direct
0.368 0.737 0.956
0.632 0.263 0.044
0.632 0.263 0.456
0.368 0.737 0.544
0.099 0.199 0.750
0.901 0.801 0.250
0.419 0.838 0.750
0.266 0.532 0.129
0.000 0.000 0.000
0.266 0.532 0.371
0.734 0.468 0.629
0.734 0.468 0.871
0.000 0.000 0.500
0.581 0.162 0.250
0.835 0.671 0.750
0.165 0.329 0.250
```

As for the energy relative to the elements, uncorrected: -1.18 eV per atom. As for the space group: Cmcm, No. 63.

Computed, not measured: TbSm2Dy5Sc after structural relaxation at the PBE level of DFT.

POSCAR file:
```
TbSm2Dy5Sc
1.0
-5.144 1.287 -1.642
-1.123 -7.514 7.010
-0.622 7.118 7.530
Dy Sc Tb Sm
10 2 2 4
direct
0.625 0.250 0.520
0.276 0.551 0.321
0.701 0.403 0.204
0.724 0.449 0.821
0.375 0.750 0.020
0.017 0.034 0.017
0.299 0.597 0.704
0.482 0.965 0.741
0.983 0.966 0.517
0.518 0.035 0.241
0.804 0.609 0.515
0.196 0.391 0.015
0.409 0.818 0.458
0.591 0.182 0.958
0.113 0.225 0.314
0.885 0.771 0.235
0.887 0.775 0.814
0.115 0.229 0.735
```

As for the formation energy from the elements: 0.159 eV per atom. As for the space group: Cmc2_1, No. 36.